A plane-wave DFT calculation with PBE-GGA was carried out for a relaxed TcSnTe2I crystal.

Cell: 5.1964 5.6601 5.1964 Å, 90.00 90.00 90.00°
Element x y z (fractional)
I  0.0000  0.5000  0.0000
Te  0.0000  0.0000  0.5000
Te  0.5000  0.0000  0.0000
Sn  0.5000  0.5000  0.5000
Tc  0.0000  0.0000  0.0000

Values from the calculation:
- symmetry = P4/mmm, No. 123
- total DFT energy (no corrections) (eV/atom) = -4.03
- formation energy without anion corrections (eV per atom) = 0.409